(w)
! PrHoErTh (GGA-PBE, optimized geometry); values from VASP
&SYSTEM
  ibrav = 0, nat = 12, ntyp = 4
/
ATOMIC_SPECIES
Pr 140.91 Pr.upf
Ho 164.93 Ho.upf
Er 167.26 Er.upf
Th 232.04 Th.upf
ATOMIC_POSITIONS angstrom
Pr 0.0000 0.0000 0.0000
Pr 0.0000 2.0761 23.1461
Pr 1.7980 1.0380 11.5730
Ho 0.0000 0.0000 8.5843
Ho 0.0000 2.0761 31.7304
Ho 1.7980 1.0380 20.1574
Er 0.0000 0.0000 14.5812
Er 0.0000 2.0761 3.0081
Er 1.7980 1.0380 26.1542
Th 0.0000 0.0000 28.9413
Th 0.0000 2.0761 17.3682
Th 1.7980 1.0380 5.7952
CELL_PARAMETERS angstrom
3.5959 0.0000 0.0000
-1.7979 3.1141 0.0000
0.0000 0.0000 34.7191
! Space group   R3m
! D(E_F)   17.87 states/eV/cell

(x)
! PrHoErTh (GGA-PBE, optimized geometry); values from VASP
&SYSTEM
  ibrav = 0, nat = 16, ntyp = 4
/
ATOMIC_SPECIES
Pr 140.91 Pr.upf
Ho 164.93 Ho.upf
Er 167.26 Er.upf
Th 232.04 Th.upf
ATOMIC_POSITIONS angstrom
Pr 0.0000 0.0000 0.0000
Pr 0.0000 4.0268 4.0268
Pr 4.0268 0.0000 4.0268
Pr 4.0268 4.0268 0.0000
Ho 2.0134 2.0134 6.0401
Ho 2.0134 6.0401 2.0134
Ho 6.0401 2.0134 2.0134
Ho 6.0401 6.0401 6.0401
Er 2.0134 2.0134 2.0134
Er 2.0134 6.0401 6.0401
Er 6.0401 2.0134 6.0401
Er 6.0401 6.0401 2.0134
Th 0.0000 0.0000 4.0268
Th 0.0000 4.0268 0.0000
Th 4.0268 0.0000 0.0000
Th 4.0268 4.0268 4.0268
CELL_PARAMETERS angstrom
8.0535 0.0000 0.0000
0.0000 8.0535 0.0000
0.0000 0.0000 8.0535
! Space group   F-43m
! D(E_F)   33.69 states/eV/cell

Most stable structure, least stable structure: (w), (x).

(w)
! PrHoErTl (GGA-PBE, optimized geometry); values from VASP
&SYSTEM
  ibrav = 0, nat = 16, ntyp = 4
/
ATOMIC_SPECIES
Pr 140.91 Pr.upf
Ho 164.93 Ho.upf
Er 167.26 Er.upf
Tl 204.38 Tl.upf
ATOMIC_POSITIONS angstrom
Pr 0.0000 0.0000 0.0000
Pr 0.0000 3.9048 3.9048
Pr 3.9048 0.0000 3.9048
Pr 3.9048 3.9048 0.0000
Ho 1.9524 1.9524 5.8572
Ho 1.9524 5.8572 1.9524
Ho 5.8572 1.9524 1.9524
Ho 5.8572 5.8572 5.8572
Er 0.0000 0.0000 3.9048
Er 0.0000 3.9048 0.0000
Er 3.9048 0.0000 0.0000
Er 3.9048 3.9048 3.9048
Tl 1.9524 1.9524 1.9524
Tl 1.9524 5.8572 5.8572
Tl 5.8572 1.9524 5.8572
Tl 5.8572 5.8572 1.9524
CELL_PARAMETERS angstrom
7.8097 0.0000 0.0000
0.0000 7.8097 0.0000
0.0000 0.0000 7.8097
! Space group   F-43m
! D(E_F)   20.96 states/eV/cell

(x)
! PrHoErTl (GGA-PBE, optimized geometry); values from VASP
&SYSTEM
  ibrav = 0, nat = 4, ntyp = 4
/
ATOMIC_SPECIES
Pr 140.91 Pr.upf
Ho 164.93 Ho.upf
Er 167.26 Er.upf
Tl 204.38 Tl.upf
ATOMIC_POSITIONS angstrom
Pr 0.0000 0.0000 0.0000
Ho 2.4176 2.4586 0.0000
Er 2.4176 0.0000 2.4682
Tl 0.0000 2.4586 2.4682
CELL_PARAMETERS angstrom
4.8352 0.0000 0.0000
0.0000 4.9172 0.0000
0.0000 0.0000 4.9364
! Space group   Pmmm
! D(E_F)   5.77 states/eV/cell

Most stable structure, least stable structure: (x), (w).

(w)
! PrHoErZn (GGA-PBE, optimized geometry); values from VASP
&SYSTEM
  ibrav = 0, nat = 4, ntyp = 4
/
ATOMIC_SPECIES
Pr 140.91 Pr.upf
Ho 164.93 Ho.upf
Er 167.26 Er.upf
Zn 65.41 Zn.upf
ATOMIC_POSITIONS angstrom
Pr 0.0000 0.0000 0.0000
Ho 1.7866 1.7866 6.1204
Er 1.7866 1.7866 2.6188
Zn 0.0000 0.0000 4.3552
CELL_PARAMETERS angstrom
3.5732 0.0000 0.0000
0.0000 3.5732 0.0000
0.0000 0.0000 8.7526
! Space group   P4mm
! D(E_F)   4.62 states/eV/cell

(x)
! PrHoErZn (GGA-PBE, optimized geometry); values from VASP
&SYSTEM
  ibrav = 0, nat = 16, ntyp = 4
/
ATOMIC_SPECIES
Pr 140.91 Pr.upf
Ho 164.93 Ho.upf
Er 167.26 Er.upf
Zn 65.41 Zn.upf
ATOMIC_POSITIONS angstrom
Pr 0.0000 0.0000 0.0000
Pr 0.0000 3.8088 3.8088
Pr 3.8088 0.0000 3.8088
Pr 3.8088 3.8088 0.0000
Ho 0.0000 0.0000 3.8088
Ho 0.0000 3.8088 0.0000
Ho 3.8088 0.0000 0.0000
Ho 3.8088 3.8088 3.8088
Er 1.9044 1.9044 5.7133
Er 1.9044 5.7133 1.9044
Er 5.7133 1.9044 1.9044
Er 5.7133 5.7133 5.7133
Zn 1.9044 1.9044 1.9044
Zn 1.9044 5.7133 5.7133
Zn 5.7133 1.9044 5.7133
Zn 5.7133 5.7133 1.9044
CELL_PARAMETERS angstrom
7.6177 0.0000 0.0000
0.0000 7.6177 0.0000
0.0000 0.0000 7.6177
! Space group   F-43m
! D(E_F)   20.03 states/eV/cell

Most stable structure, least stable structure: (w), (x).

(w)
! HoEr2Pt (GGA-PBE, optimized geometry); values from VASP
&SYSTEM
  ibrav = 0, nat = 16, ntyp = 3
/
ATOMIC_SPECIES
Ho 164.93 Ho.upf
Er 167.26 Er.upf
Pt 195.08 Pt.upf
ATOMIC_POSITIONS angstrom
Ho 0.1737 2.3701 0.8320
Ho 3.3248 7.1103 4.0577
Ho 3.6721 2.3701 2.3937
Ho 6.8233 7.1103 5.6194
Er 1.2636 0.5745 4.3824
Er 1.2636 4.1656 4.3824
Er 2.2348 5.3147 1.1567
Er 2.2348 8.9058 1.1567
Er 4.7621 0.5745 5.2947
Er 4.7621 4.1656 5.2947
Er 5.7333 5.3147 2.0690
Er 5.7333 8.9058 2.0690
Pt 0.7746 7.1103 2.9034
Pt 2.7239 2.3701 6.1291
Pt 4.2730 7.1103 0.3223
Pt 6.2224 2.3701 3.5480
CELL_PARAMETERS angstrom
6.9970 0.0000 0.0000
0.0000 9.4804 0.0000
0.0000 0.0000 6.4514
! Space group   Pnma
! D(E_F)   17.43 states/eV/cell

(x)
! HoEr2Pt (GGA-PBE, optimized geometry); values from VASP
&SYSTEM
  ibrav = 0, nat = 4, ntyp = 3
/
ATOMIC_SPECIES
Ho 164.93 Ho.upf
Er 167.26 Er.upf
Pt 195.08 Pt.upf
ATOMIC_POSITIONS angstrom
Ho 0.0000 0.0000 0.0000
Er 1.7713 1.7713 2.5250
Er 1.7713 1.7713 5.7857
Pt 0.0000 0.0000 4.1554
CELL_PARAMETERS angstrom
3.5426 0.0000 0.0000
0.0000 3.5426 0.0000
0.0000 0.0000 8.3107
! Space group   P4/mmm
! D(E_F)   4.80 states/eV/cell

Most stable structure, least stable structure: (w), (x).

(w)
! HoEr2Pt (GGA-PBE, optimized geometry); values from VASP
&SYSTEM
  ibrav = 0, nat = 12, ntyp = 3
/
ATOMIC_SPECIES
Ho 164.93 Ho.upf
Er 167.26 Er.upf
Pt 195.08 Pt.upf
ATOMIC_POSITIONS angstrom
Ho 0.0000 0.0000 0.0000
Ho 0.0000 2.1677 18.8395
Ho 1.8773 1.0839 9.4198
Er 0.0000 0.0000 6.4768
Er 0.0000 0.0000 21.7825
Er 0.0000 2.1677 12.3627
Er 0.0000 2.1677 25.3163
Er 1.8773 1.0839 2.9430
Er 1.8773 1.0839 15.8966
Pt 0.0000 0.0000 14.1296
Pt 0.0000 2.1677 4.7099
Pt 1.8773 1.0839 23.5494
CELL_PARAMETERS angstrom
3.7546 0.0000 0.0000
-1.8773 3.2516 0.0000
0.0000 0.0000 28.2593
! Space group   R-3m
! D(E_F)   15.69 states/eV/cell

(x)
! HoEr2Pt (GGA-PBE, optimized geometry); values from VASP
&SYSTEM
  ibrav = 0, nat = 16, ntyp = 3
/
ATOMIC_SPECIES
Ho 164.93 Ho.upf
Er 167.26 Er.upf
Pt 195.08 Pt.upf
ATOMIC_POSITIONS angstrom
Ho 0.0000 0.8317 2.3255
Ho 0.0000 11.2405 6.9765
Ho 1.8810 5.2044 6.9765
Ho 1.8810 6.8678 2.3255
Er 0.0000 4.3873 0.5898
Er 0.0000 4.3873 4.0612
Er 0.0000 7.6849 5.2408
Er 0.0000 7.6849 8.7122
Er 1.8810 1.6488 5.2408
Er 1.8810 1.6488 8.7122
Er 1.8810 10.4233 0.5898
Er 1.8810 10.4233 4.0612
Pt 0.0000 2.9189 6.9765
Pt 0.0000 9.1533 2.3255
Pt 1.8810 3.1172 2.3255
Pt 1.8810 8.9550 6.9765
CELL_PARAMETERS angstrom
3.7620 0.0000 0.0000
0.0000 12.0722 0.0000
0.0000 0.0000 9.3020
! Space group   Cmcm
! D(E_F)   20.02 states/eV/cell

(y)
! HoEr2Pt (GGA-PBE, optimized geometry); values from VASP
&SYSTEM
  ibrav = 0, nat = 12, ntyp = 3
/
ATOMIC_SPECIES
Ho 164.93 Ho.upf
Er 167.26 Er.upf
Pt 195.08 Pt.upf
ATOMIC_POSITIONS angstrom
Ho 0.0000 0.0000 0.0000
Ho 0.0000 2.2369 17.9319
Ho 1.9372 1.1184 8.9659
Er 0.0000 0.0000 15.0441
Er 0.0000 0.0000 20.7137
Er 0.0000 2.2369 6.0781
Er 0.0000 2.2369 11.7477
Er 1.9372 1.1184 2.7818
Er 1.9372 1.1184 24.0100
Pt 0.0000 0.0000 4.4178
Pt 0.0000 2.2369 22.3497
Pt 1.9372 1.1184 13.3837
CELL_PARAMETERS angstrom
3.8744 0.0000 0.0000
-1.9372 3.3553 0.0000
0.0000 0.0000 26.8979
! Space group   R3m
! D(E_F)   14.59 states/eV/cell

Most stable structure, least stable structure: (x), (w).

(w)
! Ho2ErPt3 (GGA-PBE, optimized geometry); values from VASP
&SYSTEM
  ibrav = 0, nat = 12, ntyp = 3
/
ATOMIC_SPECIES
Ho 164.93 Ho.upf
Er 167.26 Er.upf
Pt 195.08 Pt.upf
ATOMIC_POSITIONS angstrom
Ho 0.0000 0.0000 2.0219
Ho 0.0000 0.0000 10.0910
Ho 2.0263 2.8625 4.0346
Ho 2.0263 2.8625 8.0783
Er 0.0000 0.0000 6.0564
Er 2.0263 2.8625 0.0000
Pt 0.0000 2.8625 2.0080
Pt 0.0000 2.8625 6.0564
Pt 0.0000 2.8625 10.1049
Pt 2.0263 0.0000 0.0000
Pt 2.0263 0.0000 4.0485
Pt 2.0263 0.0000 8.0644
CELL_PARAMETERS angstrom
4.0526 0.0000 0.0000
0.0000 5.7250 0.0000
0.0000 0.0000 12.1129
! Space group   Immm
! D(E_F)   10.12 states/eV/cell

(x)
! Ho2ErPt3 (GGA-PBE, optimized geometry); values from VASP
&SYSTEM
  ibrav = 0, nat = 12, ntyp = 3
/
ATOMIC_SPECIES
Ho 164.93 Ho.upf
Er 167.26 Er.upf
Pt 195.08 Pt.upf
ATOMIC_POSITIONS angstrom
Ho 1.2332 1.2343 3.4407
Ho 1.2332 6.1662 3.4407
Ho 3.6997 8.6348 0.0017
Ho 3.6997 13.5667 0.0017
Er 1.2332 11.1007 0.0017
Er 3.6997 3.7002 3.4407
Pt 1.2332 3.7002 1.7210
Pt 1.2332 8.6496 1.7254
Pt 1.2332 13.5518 1.7254
Pt 3.6997 1.2491 1.7170
Pt 3.6997 6.1513 1.7170
Pt 3.6997 11.1007 1.7214
CELL_PARAMETERS angstrom
4.9330 0.0000 0.0000
0.0000 14.8010 0.0000
0.0000 0.0000 3.4424
! Space group   Pmmn
! D(E_F)   6.07 states/eV/cell

Most stable structure, least stable structure: (x), (w).